# 1
Entry from Alexandria via LeMat-Bulk: a relaxed structure of CaMgCr2 (PBE).

space-group type: I4_1/amd, No. 141
calculated volume: 22.20 Å³ per atom
final energy: -4.620 eV/atom

Lattice parameters (Å, degrees): 4.2172 4.2172 10.4216 78.33 78.33 90.00
Last column: nearest neighbours and their distance in Å.
Positions (direct):
1 Cr 0.3750 0.1250 0.2500  2 Cr 2.11
2 Cr 0.3750 0.6250 0.2500  2 Cr 2.11
3 Cr 0.3750 0.6250 0.7500  2 Cr 2.11
4 Cr 0.8750 0.6250 0.7500  2 Cr 2.11
5 Ca 0.0000 0.0000 0.0000  4 Mg 2.98
6 Ca 0.7500 0.2500 0.5000  4 Mg 2.98
7 Mg 0.5000 0.5000 0.0000  4 Cr 2.71, 4 Ca 2.98
8 Mg 0.2500 0.7500 0.5000  4 Cr 2.71, 4 Ca 2.98

# 2
Entry from Alexandria via LeMat-Bulk: a relaxed structure of In5Pt3 (PBE).

polymorph energy (0 for the lowest one): 0.000 eV/f.u.
space-group type: C2/m, No. 12
calculated volume: 20.93 Å³ per atom

Lattice parameters (Å, degrees): 8.0248 8.0248 7.2887 94.22 94.22 133.43
Last column: nearest neighbours and their distance in Å.
Positions (direct):
1 Pt 0.1570 0.3438 0.5004  8 In 2.79-2.89
2 Pt 0.2468 0.2540 0.0004  8 In 2.74-2.90
3 Pt 0.4335 0.9335 0.1852  8 In 2.71-2.96, 1 Pt 2.97
4 Pt 0.5674 0.0674 0.8157  8 In 2.71-2.96, 1 Pt 2.97
5 Pt 0.7540 0.7468 0.0004  8 In 2.74-2.90
6 Pt 0.8438 0.6570 0.5004  8 In 2.79-2.89
7 In 0.1094 0.8214 0.8709  5 Pt 2.74-2.90
8 In 0.1472 0.0168 0.3029  5 Pt 2.79-2.96
9 In 0.2460 0.7460 0.4900  4 Pt 2.71-2.83
10 In 0.3214 0.6094 0.8709  5 Pt 2.74-2.90
11 In 0.4839 0.3536 0.6979  5 Pt 2.79-2.96
12 In 0.5168 0.6472 0.3029  5 Pt 2.79-2.96
13 In 0.6794 0.3914 0.1299  5 Pt 2.74-2.90
14 In 0.7550 0.2550 0.5109  4 Pt 2.71-2.83
15 In 0.8536 0.9839 0.6979  5 Pt 2.79-2.96
16 In 0.8914 0.1794 0.1299  5 Pt 2.74-2.90

# 3
Entry from Alexandria via LeMat-Bulk: a relaxed structure of AcTbDy4 (PBE).

polymorph energy (0 for the lowest one): 0.114 eV/f.u.
space-group type: P-1, No. 2
calculated volume: 33.99 Å³ per atom

Lattice parameters (Å, degrees): 9.2478 8.9453 6.7485 112.76 120.54 96.59
Last column: nearest neighbours and their distance in Å.
Positions (direct):
1 Ac 0.7183 0.5757 0.0423  6 Dy 3.51-3.85, 3 Tb 3.68-3.87, 1 Ac 3.78
2 Ac 0.2817 0.4243 0.9577  6 Dy 3.51-3.85, 3 Tb 3.68-3.87, 1 Ac 3.78
3 Tb 0.3132 0.2276 0.3663  7 Dy 3.35-3.62, 2 Ac 3.68-3.72
4 Tb 0.6868 0.7724 0.6337  7 Dy 3.35-3.62, 2 Ac 3.68-3.72
5 Dy 0.8965 0.0677 0.2837  2 Tb 3.35-3.62, 7 Dy 3.35-3.74, 1 Ac 3.64
6 Dy 0.7510 0.3929 0.4655  2 Tb 3.37-3.76, 5 Dy 3.41-3.64, 1 Ac 3.71
7 Dy 0.8974 0.2176 0.8849  7 Dy 3.44-3.74, 2 Tb 3.49-3.51, 2 Ac 3.51-3.81
8 Dy 0.4925 0.0623 0.7804  8 Dy 3.40-3.64, 2 Tb 3.43-3.44
9 Dy 0.1035 0.9323 0.7163  2 Tb 3.35-3.62, 7 Dy 3.35-3.74, 1 Ac 3.64
10 Dy 0.2490 0.6071 0.5345  2 Tb 3.37-3.76, 5 Dy 3.41-3.64, 1 Ac 3.71
11 Dy 0.1026 0.7824 0.1151  7 Dy 3.44-3.74, 2 Tb 3.49-3.51, 2 Ac 3.51-3.81
12 Dy 0.5075 0.9377 0.2196  8 Dy 3.40-3.64, 2 Tb 3.43-3.44

# 4
Entry from Alexandria via LeMat-Bulk: a relaxed structure of PrNd3Te4 (PBE).

polymorph energy (0 for the lowest one): 0.067 eV/f.u.
space-group type: P6_3/mmc, No. 194
calculated volume: 32.39 Å³ per atom

Lattice parameters (Å, degrees): 4.4336 4.4336 30.4421 90.00 90.00 120.00
Last column: nearest neighbours and their distance in Å.
Positions (direct):
1 Pr 0.6667 0.3333 0.7500  6 Te 3.22
2 Pr 0.3333 0.6667 0.2500  6 Te 3.22
3 Te 0.6667 0.3333 0.9380  6 Nd 3.17-3.18
4 Te 0.3333 0.6667 0.0620  6 Nd 3.17-3.18
5 Te 0.3333 0.6667 0.4380  6 Nd 3.17-3.18
6 Te 0.6667 0.3333 0.5620  6 Nd 3.17-3.18
7 Te 0.0000 0.0000 0.8144  3 Nd 3.18, 3 Pr 3.22
8 Te 0.0000 0.0000 0.1856  3 Nd 3.18, 3 Pr 3.22
9 Te 0.0000 0.0000 0.3144  3 Nd 3.18, 3 Pr 3.22
10 Te 0.0000 0.0000 0.6856  3 Nd 3.18, 3 Pr 3.22
11 Nd 0.0000 0.0000 0.0000  6 Te 3.18
12 Nd 0.0000 0.0000 0.5000  6 Te 3.18
13 Nd 0.3333 0.6667 0.8766  6 Te 3.17-3.18
14 Nd 0.6667 0.3333 0.1234  6 Te 3.17-3.18
15 Nd 0.6667 0.3333 0.3766  6 Te 3.17-3.18
16 Nd 0.3333 0.6667 0.6234  6 Te 3.17-3.18

What is the calculated volume in the third record? 33.99 Å³ per atom

Repeat the third record exactly.
Entry from Alexandria via LeMat-Bulk: a relaxed structure of AcTbDy4 (PBE).

polymorph energy (0 for the lowest one): 0.114 eV/f.u.
space-group type: P-1, No. 2
calculated volume: 33.99 Å³ per atom

Lattice parameters (Å, degrees): 9.2478 8.9453 6.7485 112.76 120.54 96.59
Last column: nearest neighbours and their distance in Å.
Positions (direct):
1 Ac 0.7183 0.5757 0.0423  6 Dy 3.51-3.85, 3 Tb 3.68-3.87, 1 Ac 3.78
2 Ac 0.2817 0.4243 0.9577  6 Dy 3.51-3.85, 3 Tb 3.68-3.87, 1 Ac 3.78
3 Tb 0.3132 0.2276 0.3663  7 Dy 3.35-3.62, 2 Ac 3.68-3.72
4 Tb 0.6868 0.7724 0.6337  7 Dy 3.35-3.62, 2 Ac 3.68-3.72
5 Dy 0.8965 0.0677 0.2837  2 Tb 3.35-3.62, 7 Dy 3.35-3.74, 1 Ac 3.64
6 Dy 0.7510 0.3929 0.4655  2 Tb 3.37-3.76, 5 Dy 3.41-3.64, 1 Ac 3.71
7 Dy 0.8974 0.2176 0.8849  7 Dy 3.44-3.74, 2 Tb 3.49-3.51, 2 Ac 3.51-3.81
8 Dy 0.4925 0.0623 0.7804  8 Dy 3.40-3.64, 2 Tb 3.43-3.44
9 Dy 0.1035 0.9323 0.7163  2 Tb 3.35-3.62, 7 Dy 3.35-3.74, 1 Ac 3.64
10 Dy 0.2490 0.6071 0.5345  2 Tb 3.37-3.76, 5 Dy 3.41-3.64, 1 Ac 3.71
11 Dy 0.1026 0.7824 0.1151  7 Dy 3.44-3.74, 2 Tb 3.49-3.51, 2 Ac 3.51-3.81
12 Dy 0.5075 0.9377 0.2196  8 Dy 3.40-3.64, 2 Tb 3.43-3.44

Which of these has the lowest calculated volume? In5Pt3